VASP calculation (GGA+U) on a geometry-optimized Sm2CoO4 structure.

Cell: 5.649 5.640 6.726 Å, 114.79 90.00 90.00°
Positions (direct):
Sm: 0.000 0.653 0.306
Sm: 0.000 0.347 0.694
Sm: 0.500 0.847 0.694
Sm: 0.500 0.153 0.306
Co: 0.000 0.000 0.000
Co: 0.500 0.500 0.000
O: 0.781 0.695 0.000
O: 0.750 0.511 0.500
O: 0.750 0.011 0.500
O: 0.719 0.195 0.000
O: 0.281 0.805 0.000
O: 0.250 0.989 0.500
O: 0.250 0.489 0.500
O: 0.219 0.305 0.000

Output
DFT total energy: -7.60 eV per atom
Volume: 13.898 Å³/atom